Compound: Ba2CuHg2
Source: the Alexandria database
Functional: PBE-GGA
Structure: optimized geometry

Output
The value obtained for the total energy is -1.873 eV per atom. The symmetry is P4/mbm. The energy above the most stable polymorph in this dataset is 0.000 eV/atom. As for the formation energy: -0.16 eV per atom.

Unit cell a=8.564 b=8.564 c=4.745 alpha=90.00 beta=90.00 gamma=90.00
Fractional positions:
1 Hg 0.630 0.130 0.000
2 Hg 0.130 0.370 0.000
3 Hg 0.870 0.630 0.000
4 Hg 0.370 0.870 0.000
5 Ba 0.674 0.826 0.500
6 Ba 0.174 0.674 0.500
7 Ba 0.326 0.174 0.500
8 Ba 0.826 0.326 0.500
9 Cu 0.500 0.500 0.000
10 Cu 0.000 0.000 0.000

Compound: Ba4CuHg
Source: the Alexandria database
Functional: PBE-GGA
Structure: optimized geometry

Output
The value obtained for the total energy is -2.178 eV per atom. The symmetry is P4/mmm. The energy above the most stable polymorph in this dataset is 0.000 eV/atom. As for the formation energy: -0.16 eV per atom.

Unit cell a=4.160 b=4.160 c=15.054 alpha=90.01 beta=90.01 gamma=90.00
Fractional positions:
1 Cu 0.500 0.500 0.500
2 Ba 0.000 0.000 0.623
3 Ba 0.000 0.000 0.377
4 Ba 0.500 0.500 0.134
5 Ba 0.500 0.500 0.866
6 Hg 0.000 0.000 0.000

Compound: BaCuHg2
Source: the Alexandria database
Functional: PBE-GGA
Structure: optimized geometry

Output
The value obtained for the total energy is -1.823 eV per atom. The symmetry is P2/m. As for the formation energy: -0.17 eV per atom.

Unit cell a=4.562 b=4.573 c=5.844 alpha=72.83 beta=90.00 gamma=90.00
Fractional positions:
1 Hg 0.000 0.912 0.943
2 Hg 0.000 0.588 0.557
3 Ba 0.500 0.250 0.250
4 Cu 0.500 0.750 0.750

Compound: BaCuHg2
Source: the Alexandria database
Functional: PBE-GGA
Structure: optimized geometry

Output
The value obtained for the total energy is -1.877 eV per atom. The symmetry is R3m. As for the formation energy: -0.22 eV per atom.

Unit cell a=4.796 b=4.796 c=6.397 alpha=67.94 beta=67.94 gamma=59.95
Fractional positions:
1 Hg 0.714 0.714 0.859
2 Hg 0.967 0.967 0.099
3 Cu 0.311 0.311 0.068
4 Ba 0.508 0.508 0.474

Compound: Ba4CuHg
Source: the Alexandria database
Functional: PBE-GGA
Structure: optimized geometry

Output
The value obtained for the total energy is -1.450 eV per atom. The symmetry is F-43m. The energy above the most stable polymorph in this dataset is 0.727 eV/atom. As for the formation energy: 0.56 eV per atom.

Unit cell a=7.326 b=7.326 c=7.326 alpha=60.00 beta=60.00 gamma=60.00
Fractional positions:
1 Cu 0.750 0.750 0.750
2 Hg 0.000 0.000 0.000
3 Ba 0.375 0.375 0.375
4 Ba 0.375 0.875 0.375
5 Ba 0.875 0.375 0.375
6 Ba 0.375 0.375 0.875

Compound: BaCu2Hg
Source: the Alexandria database
Functional: PBE-GGA
Structure: optimized geometry

Output
The value obtained for the total energy is -2.390 eV per atom. The symmetry is Cmmm. As for the formation energy: 0.21 eV per atom.

Unit cell a=8.151 b=4.947 c=4.158 alpha=90.06 beta=59.25 gamma=127.51
Fractional positions:
1 Cu 0.000 0.000 0.000
2 Cu 0.500 0.000 0.500
3 Hg 0.000 0.500 0.500
4 Ba 0.500 0.500 0.000

Compound: BaCu2Hg
Source: the Alexandria database
Functional: PBE-GGA
Structure: optimized geometry

Output
The value obtained for the total energy is -2.610 eV per atom. The symmetry is Amm2. As for the formation energy: -0.01 eV per atom.

Unit cell a=4.185 b=4.054 c=6.262 alpha=71.09 beta=90.00 gamma=90.00
Fractional positions:
1 Hg 0.000 0.495 0.385
2 Cu 0.000 0.157 0.060
3 Cu 0.500 0.058 0.260
4 Ba 0.500 0.790 0.795

Compound: Ba2Cu2Hg
Source: the Alexandria database
Functional: PBE-GGA
Structure: optimized geometry

Output
The value obtained for the total energy is -2.597 eV per atom. The symmetry is P4/mbm. The energy above the most stable polymorph in this dataset is 0.000 eV/atom. As for the formation energy: -0.13 eV per atom.

Unit cell a=8.300 b=8.300 c=4.417 alpha=90.00 beta=90.00 gamma=90.00
Fractional positions:
1 Cu 0.896 0.604 0.000
2 Cu 0.604 0.104 0.000
3 Cu 0.396 0.896 0.000
4 Cu 0.104 0.396 0.000
5 Ba 0.814 0.314 0.500
6 Ba 0.186 0.686 0.500
7 Ba 0.314 0.186 0.500
8 Ba 0.686 0.814 0.500
9 Hg 0.500 0.500 0.000
10 Hg 0.000 0.000 0.000

Compound: BaCu2Hg
Source: the Alexandria database
Functional: PBE-GGA
Structure: optimized geometry

Output
The value obtained for the total energy is -2.496 eV per atom. The symmetry is P4/mmm. As for the formation energy: 0.11 eV per atom.

Unit cell a=3.694 b=3.694 c=6.956 alpha=90.00 beta=90.00 gamma=90.00
Fractional positions:
1 Ba 0.500 0.500 0.750
2 Cu 0.000 0.000 0.071
3 Cu 0.000 0.000 0.429
4 Hg 0.500 0.500 0.250

Compound: Ba2CuHg2
Source: the Alexandria database
Functional: PBE-GGA
Structure: optimized geometry

Output
The value obtained for the total energy is -1.804 eV per atom. The symmetry is I4/mmm. The energy above the most stable polymorph in this dataset is 0.070 eV/atom. As for the formation energy: -0.09 eV per atom.

Unit cell a=6.707 b=6.707 c=6.259 alpha=57.60 beta=57.60 gamma=90.00
Fractional positions:
1 Ba 0.250 0.750 0.500
2 Ba 0.750 0.250 0.500
3 Hg 0.328 0.328 0.344
4 Hg 0.672 0.672 0.656
5 Cu 0.000 0.000 0.000

Compound: BaCuHg
Source: the Alexandria database
Functional: PBE-GGA
Structure: optimized geometry

Output
The value obtained for the total energy is -2.351 eV per atom. The symmetry is C2/m. As for the formation energy: -0.24 eV per atom.

Unit cell a=6.018 b=4.446 c=13.404 alpha=90.00 beta=101.54 gamma=90.00
Fractional positions:
1 Ba 0.811 0.000 0.111
2 Ba 0.189 0.500 0.389
3 Ba 0.811 0.500 0.611
4 Ba 0.189 0.000 0.889
5 Cu 0.386 0.500 0.725
6 Cu 0.614 0.000 0.775
7 Cu 0.386 0.000 0.225
8 Cu 0.614 0.500 0.275
9 Hg 0.715 0.500 0.896
10 Hg 0.715 0.000 0.396
11 Hg 0.285 0.500 0.104
12 Hg 0.285 0.000 0.604

Compound: BaCu2Hg2
Source: the Alexandria database
Functional: PBE-GGA
Structure: optimized geometry

Output
The value obtained for the total energy is -2.089 eV per atom. The symmetry is P4/mbm. The energy above the most stable polymorph in this dataset is 0.197 eV/atom. As for the formation energy: 0.05 eV per atom.

Unit cell a=7.947 b=7.947 c=3.835 alpha=90.00 beta=90.00 gamma=90.00
Fractional positions:
1 Hg 0.343 0.157 0.500
2 Hg 0.843 0.343 0.500
3 Hg 0.157 0.657 0.500
4 Hg 0.657 0.843 0.500
5 Cu 0.608 0.108 0.000
6 Cu 0.392 0.892 0.000
7 Cu 0.892 0.608 0.000
8 Cu 0.108 0.392 0.000
9 Ba 0.500 0.500 0.000
10 Ba 0.000 0.000 0.000

What is the formula in the tenth record?
Ba2CuHg2